Version A
Entry from Alexandria via LeMat-Bulk: a geometry-optimized Tm2HfCo2 structure (PBE).

Cell: 5.654 5.654 5.654 Å, 140.08 120.17 74.36°
Positions (direct):
1 Tm 0.201 0.201 0.000
2 Tm 0.799 0.799 0.000
3 Hf 0.500 0.000 0.500
4 Co 0.207 0.500 0.707
5 Co 0.793 0.500 0.293

Computed properties:
As for the space group: No. 71. As for the density: 10.7 g/cm³. As for the crystal system: orthorhombic. For the total magnetization, the calculation gives 0.00 Bohr magnetons per cell.


Version B
Entry from Alexandria via LeMat-Bulk: a geometry-optimized Tm2HfCo2 structure (PBE).

Cell: 5.696 5.696 7.181 Å, 99.86 99.86 60.29°
Positions (direct):
1 Tm 0.030 0.269 0.149
2 Tm 0.269 0.030 0.649
3 Tm 0.731 0.970 0.351
4 Tm 0.970 0.731 0.851
5 Hf 0.403 0.597 0.250
6 Hf 0.597 0.403 0.750
7 Co 0.198 0.505 0.499
8 Co 0.495 0.802 0.001
9 Co 0.505 0.198 0.999
10 Co 0.802 0.495 0.501

Computed properties:
As for the space group: No. 15. As for the density: 10.6 g/cm³. As for the crystal system: monoclinic. For the total magnetization, the calculation gives 0.00 Bohr magnetons per cell.


The structure shown above that is least stable: version A.